Entry 1:
A plane-wave DFT calculation with GGA-PBE was carried out for crystalline Pm4OsBr5 at its relaxed geometry.

a b c (Å): 18.7780 4.1397 8.9082
angles (deg): 90.00 104.47 90.00
Last column: nearest neighbours and their distance in Å.
Space group C2/m (No. 12)
One atom of each set of equivalent atoms:
Pm  0.0011  0.0000  0.2219 (multiplicity 4)  2 Os 2.86, 2 Br 3.05-3.16
Pm  0.1470  0.5000  0.0825 (multiplicity 4)  1 Os 2.67
Os  0.0000  0.5000  0.0000 (multiplicity 2)  6 Pm 2.67-2.86
Br  0.0000  0.5000  0.5000 (multiplicity 2)  4 Pm 3.23
Br  0.1686  0.0000  0.3330 (multiplicity 4)  3 Pm 3.00-3.05
Br  0.1724  0.0000  0.8485 (multiplicity 4)  4 Pm 3.06-3.29

Results
The calculated volume is 33.5 A^3/atom. As for the total DFT energy (no corrections): -5.20 eV/atom.

=====

Entry 2:
A plane-wave DFT calculation with GGA-PBE was carried out for crystalline PmOsBr at its relaxed geometry.

a b c (Å): 4.2173 4.2173 34.5004
angles (deg): 90.00 90.00 120.00
Last column: nearest neighbours and their distance in Å.
Space group R-3m (No. 166, hexagonal axes)
One atom of each set of equivalent atoms:
Pm  0.0000  0.0000  0.0602 (multiplicity 6)  3 Br 3.07, 6 Os 3.12-3.29
Os  0.0000  0.0000  0.3371 (multiplicity 6)  3 Os 2.45
Br  0.0000  0.0000  0.2190 (multiplicity 6)  3 Pm 3.07

Results
The calculated volume is 29.5 A^3/atom. As for the total DFT energy (no corrections): -6.84 eV/atom.

=====

Entry 3:
A plane-wave DFT calculation with GGA-PBE was carried out for crystalline Pm2OsBr at its relaxed geometry.

a b c (Å): 4.1153 4.1153 23.2449
angles (deg): 90.00 90.00 120.00
Last column: nearest neighbours and their distance in Å.
Space group R-3m (No. 166, hexagonal axes)
One atom of each set of equivalent atoms:
Pm  0.0000  0.0000  0.2321 (multiplicity 6)  3 Os 2.82
Os  0.0000  0.0000  0.5000 (multiplicity 3)  6 Pm 2.82
Br  0.0000  0.0000  0.0000 (multiplicity 3)  6 Pm 3.34

Results
The calculated volume is 28.4 A^3/atom. For the energy above the most stable polymorph in this dataset, the calculation gives 39 meV/atom. As for the total DFT energy (no corrections): -6.22 eV/atom.

=====

Entry 4:
A plane-wave DFT calculation with GGA-PBE was carried out for crystalline Pm7OsBr12 at its relaxed geometry.

a b c (Å): 15.2980 15.2980 10.7526
angles (deg): 90.00 90.00 120.00
Last column: nearest neighbours and their distance in Å.
Space group R-3 (No. 148, hexagonal axes)
One atom of each set of equivalent atoms:
Pm  0.0000  0.0000  0.0000 (multiplicity 3)  6 Br 2.90
Pm  0.0414  0.8754  0.3565 (multiplicity 18)  1 Os 2.76, 3 Br 2.97-3.08
Os  0.0000  0.0000  0.5000 (multiplicity 3)  6 Pm 2.76
Br  0.0229  0.4382  0.1570 (multiplicity 18)  3 Pm 2.97-3.22
Br  0.0434  0.8759  0.8363 (multiplicity 18)  3 Pm 2.90-3.11

Results
The calculated volume is 36.3 A^3/atom. As for the total DFT energy (no corrections): -4.82 eV/atom.

=====

Entry 5:
A plane-wave DFT calculation with GGA-PBE was carried out for crystalline Pm3OsBr3 at its relaxed geometry.

a b c (Å): 8.7066 4.2797 12.1348
angles (deg): 90.00 91.33 90.00
Last column: nearest neighbours and their distance in Å.
Space group P2_1/m (No. 11)
One atom of each set of equivalent atoms:
Pm  0.0993  0.2500  0.3266 (multiplicity 2)  1 Os 2.81, 4 Br 2.97-3.07
Pm  0.1436  0.2500  0.8658 (multiplicity 2)  3 Os 2.79-2.92
Pm  0.2728  0.7500  0.1006 (multiplicity 2)  2 Os 2.86, 2 Br 3.09-3.15
Os  0.0549  0.2500  0.0964 (multiplicity 2)  6 Pm 2.79-2.92
Br  0.1304  0.2500  0.6021 (multiplicity 2)  4 Pm 3.07-3.35
Br  0.3346  0.7500  0.3520 (multiplicity 2)  3 Pm 2.97-3.09
Br  0.4347  0.7500  0.8710 (multiplicity 2)  5 Pm 3.15-3.34

Results
The calculated volume is 32.3 A^3/atom. As for the total DFT energy (no corrections): -5.56 eV/atom.

=====

Entry 6:
A plane-wave DFT calculation with GGA-PBE was carried out for crystalline Pm6Os2PtBr3 at its relaxed geometry.

a b c (Å): 7.1613 12.4050 8.1257
angles (deg): 90.00 107.07 90.00
Last column: nearest neighbours and their distance in Å.
Space group C2/m (No. 12)
One atom of each set of equivalent atoms:
Pm  0.2191  0.0000  0.1959 (multiplicity 4)  2 Os 2.79, 1 Pt 2.91
Pm  0.2384  0.3271  0.1966 (multiplicity 8)  2 Os 2.80, 1 Pt 2.91
Os  0.0000  0.1667  0.0000 (multiplicity 4)  6 Pm 2.79-2.80
Pt  0.0000  0.5000  0.0000 (multiplicity 2)  6 Pm 2.91
Br  0.0000  0.0000  0.5000 (multiplicity 2)  6 Pm 3.29-3.39
Br  0.0000  0.3310  0.5000 (multiplicity 4)  6 Pm 3.28-3.41

Results
The calculated volume is 28.8 A^3/atom. As for the total DFT energy (no corrections): -6.06 eV/atom.

=====

Entry 7:
A plane-wave DFT calculation with GGA-PBE was carried out for crystalline Pm8Os3RhBr4 at its relaxed geometry.

a b c (Å): 14.2263 8.2029 9.1159
angles (deg): 90.00 121.46 90.00
Last column: nearest neighbours and their distance in Å.
Space group C2/m (No. 12)
One atom of each set of equivalent atoms:
Pm  0.0191  0.2461  0.3038 (multiplicity 8)  2 Os 2.80, 1 Rh 2.85
Pm  0.2328  0.0000  0.6982 (multiplicity 4)  3 Os 2.83
Pm  0.2347  0.5000  0.6960 (multiplicity 4)  2 Os 2.80, 1 Rh 2.85
Os  0.0000  0.0000  0.5000 (multiplicity 2)  6 Pm 2.80-2.83
Os  0.2500  0.2500  0.5000 (multiplicity 4)  6 Pm 2.80-2.83
Rh  0.0000  0.5000  0.5000 (multiplicity 2)  6 Pm 2.85
Br  0.0000  0.0000  0.0000 (multiplicity 2)  6 Pm 3.32
Br  0.0000  0.5000  0.0000 (multiplicity 2)  6 Pm 3.33-3.36
Br  0.2500  0.2500  0.0000 (multiplicity 4)  6 Pm 3.34-3.36

Results
The calculated volume is 28.4 A^3/atom. As for the total DFT energy (no corrections): -6.11 eV/atom.

=====

Entry 8:
A plane-wave DFT calculation with GGA-PBE was carried out for crystalline Pm6Os2RhBr3 at its relaxed geometry.

a b c (Å): 7.0976 12.2962 8.1442
angles (deg): 90.00 106.91 90.00
Last column: nearest neighbours and their distance in Å.
Space group C2/m (No. 12)
One atom of each set of equivalent atoms:
Pm  0.2269  0.0000  0.1969 (multiplicity 4)  2 Os 2.80, 1 Rh 2.85
Pm  0.2350  0.3305  0.1967 (multiplicity 8)  2 Os 2.80, 1 Rh 2.85
Os  0.0000  0.1664  0.0000 (multiplicity 4)  6 Pm 2.80
Rh  0.0000  0.5000  0.0000 (multiplicity 2)  6 Pm 2.85
Br  0.0000  0.0000  0.5000 (multiplicity 2)  6 Pm 3.32-3.36
Br  0.0000  0.3319  0.5000 (multiplicity 4)  6 Pm 3.31-3.37

Results
The calculated volume is 28.3 A^3/atom. As for the total DFT energy (no corrections): -6.08 eV/atom.

=====

Entry 9:
A plane-wave DFT calculation with GGA-PBE was carried out for crystalline Pm8Os3SBr4 at its relaxed geometry.

a b c (Å): 8.3043 8.3043 23.0064
angles (deg): 90.00 90.00 120.00
Last column: nearest neighbours and their distance in Å.
Space group R-3m (No. 166, hexagonal axes)
One atom of each set of equivalent atoms:
Pm  0.0000  0.0000  0.2334 (multiplicity 6)  3 Os 2.85
Pm  0.0137  0.5068  0.7688 (multiplicity 18)  2 Os 2.78, 1 S 2.90
Os  0.0000  0.5000  0.5000 (multiplicity 9)  6 Pm 2.78-2.85
S  0.0000  0.0000  0.5000 (multiplicity 3)  6 Pm 2.90
Br  0.0000  0.0000  0.0000 (multiplicity 3)  6 Pm 3.29
Br  0.0000  0.5000  0.0000 (multiplicity 9)  6 Pm 3.32-3.39

Results
The calculated volume is 28.6 A^3/atom. As for the total DFT energy (no corrections): -6.07 eV/atom.

=====

Entry 10:
A plane-wave DFT calculation with GGA-PBE was carried out for crystalline Pm8Os3SBr3 at its relaxed geometry.

a b c (Å): 14.4692 8.3503 8.8446
angles (deg): 90.00 123.09 90.00
Last column: nearest neighbours and their distance in Å.
Space group C2/m (No. 12)
One atom of each set of equivalent atoms:
Pm  0.0203  0.2386  0.2999 (multiplicity 8)  2 Os 2.79, 1 S 2.92
Pm  0.2345  0.0000  0.7029 (multiplicity 4)  3 Os 2.84
Pm  0.2409  0.5000  0.7000 (multiplicity 4)  2 Os 2.79, 1 S 2.92
Os  0.0000  0.0000  0.5000 (multiplicity 2)  6 Pm 2.79-2.84
Os  0.2500  0.2500  0.5000 (multiplicity 4)  6 Pm 2.79-2.84
S  0.0000  0.5000  0.5000 (multiplicity 2)  6 Pm 2.92
Br  0.0000  0.5000  0.0000 (multiplicity 2)  6 Pm 3.26-3.32
Br  0.2500  0.2500  0.0000 (multiplicity 4)  6 Pm 3.27-3.32

Results
The calculated volume is 29.8 A^3/atom. As for the total DFT energy (no corrections): -6.14 eV/atom.

=====

Entry 11:
A plane-wave DFT calculation with GGA-PBE was carried out for crystalline Pm4OsSBr2 at its relaxed geometry.

a b c (Å): 7.3871 4.0517 7.8149
angles (deg): 90.00 106.78 90.00
Last column: nearest neighbours and their distance in Å.
Space group P2/m (No. 10)
One atom of each set of equivalent atoms:
Pm  0.2186  0.0000  0.1991 (multiplicity 2)  2 Os 2.77, 1 S 2.93
Pm  0.2601  0.5000  0.8034 (multiplicity 2)  1 Os 2.79, 2 S 2.83
Os  0.0000  0.5000  0.0000 (multiplicity 1)  6 Pm 2.77-2.79
S  0.5000  0.0000  0.0000 (multiplicity 1)  6 Pm 2.83-2.93
Br  0.0000  0.0000  0.5000 (multiplicity 1)  6 Pm 3.21-3.28
Br  0.5000  0.5000  0.5000 (multiplicity 1)  6 Pm 3.34-3.35

Results
The calculated volume is 28.0 A^3/atom. As for the total DFT energy (no corrections): -5.86 eV/atom.

=====

Entry 12:
A plane-wave DFT calculation with GGA-PBE was carried out for crystalline Pm4OsSeBr2 at its relaxed geometry.

a b c (Å): 7.5931 4.1091 7.7902
angles (deg): 90.00 106.85 90.00
Last column: nearest neighbours and their distance in Å.
Space group P2/m (No. 10)
One atom of each set of equivalent atoms:
Pm  0.2107  0.0000  0.1993 (multiplicity 2)  2 Os 2.78, 1 Se 3.04
Pm  0.2437  0.5000  0.7963 (multiplicity 2)  1 Os 2.76, 2 Se 2.96
Os  0.0000  0.5000  0.0000 (multiplicity 1)  6 Pm 2.76-2.78
Se  0.5000  0.0000  0.0000 (multiplicity 1)  6 Pm 2.96-3.04
Br  0.0000  0.0000  0.5000 (multiplicity 1)  6 Pm 3.20-3.24
Br  0.5000  0.5000  0.5000 (multiplicity 1)  6 Pm 3.40-3.42

Results
The calculated volume is 29.1 A^3/atom. As for the total DFT energy (no corrections): -5.74 eV/atom.

=====

Total moment
In order: 0.310; 0.000; 0.000; 2.472; 0.000; 0.000; 0.000; 0.000; 0.000; 0.000; 0.001; 0.001
Unit: Bohr magnetons per cell
Raw formation energy
In order: -1.345; -0.960; -0.619; -1.587; -1.207; -0.893; -0.755; -0.800; -0.915; -0.748; -1.146; -1.105
Unit: eV/atom